Below is a geometry-optimized PmGa3CuNi structure, with properties calculated at the PBE level.

**Uncorrected energy**: -101.84 eV per cell
**Energy of formation**: -0.292 eV per atom

Unit cell a=6.0199 b=11.8514 c=5.9982 alpha=90.00 beta=90.00 gamma=90.00
Last column: nearest neighbours and their distance in Å.
Space group Cmcm (No. 63)
Symmetry-distinct sites (fractional):
Pm 0.0000 0.2259 0.2500  1 Ni 2.61
Ga 0.0000 0.3488 0.7500  1 Ni 2.43, 1 Cu 2.46
Ga 0.2120 0.0000 0.0000  2 Ni 2.38, 1 Ga 2.55, 2 Cu 2.59
Cu 0.0000 0.1413 0.7500  5 Ga 2.46-2.59
Ni 0.0000 0.4459 0.2500  5 Ga 2.38-2.43, 1 Pm 2.61